A plane-wave DFT calculation with PBE was carried out for a geometry-optimized Sc4CoSiN2 structure.

Output
Uncorrected energy, eV per cell: -62.8

a = 3.1661 Å, b = 3.1661 Å, c = 13.2762 Å
α = 90.00°, β = 90.00°, γ = 120.00°
Space group P-6m2 (No. 187)
Unique sites:
Sc 0.0000 0.0000 0.1448
Sc 0.6667 0.3333 0.3362
Co 0.6667 0.3333 0.0000
Si 0.0000 0.0000 0.5000
N 0.3333 0.6667 0.2480

***

A plane-wave DFT calculation with PBE was carried out for a geometry-optimized Sc4Ta2Co3N3 structure.

Output
Uncorrected energy, eV per cell: -413.6

a = 9.2074 Å, b = 5.3229 Å, c = 13.3011 Å
α = 90.00°, β = 104.21°, γ = 90.00°
Space group C2/c (No. 15)
Unique sites:
Sc 0.1164 0.0815 0.0941
Sc 0.2161 0.0842 0.4059
Ta 0.0446 0.4160 0.8880
Co 0.0000 0.0734 0.2500
Co 0.2403 0.3433 0.2484
N 0.0763 0.2703 0.5000
N 0.2500 0.2500 0.0000

***

A plane-wave DFT calculation with PBE was carried out for a geometry-optimized Sc4TlCoN2 structure.

Output
Uncorrected energy, eV per cell: -59.3

a = 3.2303 Å, b = 3.2303 Å, c = 13.9244 Å
α = 90.00°, β = 90.00°, γ = 120.00°
Space group P-6m2 (No. 187)
Unique sites:
Sc 0.0000 0.0000 0.1355
Sc 0.6667 0.3333 0.3164
Tl 0.0000 0.0000 0.5000
Co 0.6667 0.3333 0.0000
N 0.3333 0.6667 0.2371

***

A plane-wave DFT calculation with PBE was carried out for a geometry-optimized Sc4Co3W2N3 structure.

Output
Uncorrected energy, eV per cell: -412.4

a = 9.1184 Å, b = 5.2131 Å, c = 13.1031 Å
α = 90.00°, β = 103.12°, γ = 90.00°
Space group C2/c (No. 15)
Unique sites:
Sc 0.1126 0.0876 0.0913
Sc 0.2211 0.0835 0.4085
Co 0.0000 0.1178 0.2500
Co 0.2322 0.1839 0.7504
W 0.0360 0.4173 0.8603
N 0.0765 0.2710 0.5004
N 0.2500 0.2500 0.0000

***

A plane-wave DFT calculation with PBE was carried out for a geometry-optimized Y2Sc4Co3N3 structure.

Output
Uncorrected energy, eV per cell: -382.8

a = 9.6391 Å, b = 5.5642 Å, c = 13.4832 Å
α = 90.00°, β = 104.68°, γ = 90.00°
Space group C2/c (No. 15)
Unique sites:
Y 0.0394 0.0833 0.3770
Sc 0.1154 0.4116 0.5925
Sc 0.2194 0.4186 0.9076
Co 0.0000 0.4190 0.7500
Co 0.2476 0.1624 0.7496
N 0.0848 0.2541 0.0003
N 0.2500 0.2500 0.5000

***

A plane-wave DFT calculation with PBE was carried out for a geometry-optimized Sc4ZnCoN2 structure.

Output
Uncorrected energy, eV per cell: -57.8
Energy relative to the lowest polymorph listed for this composition, eV per atom: 0.000

a = 3.1762 Å, b = 3.1762 Å, c = 13.5999 Å
α = 90.00°, β = 90.00°, γ = 120.00°
Space group P-6m2 (No. 187)
Unique sites:
Sc 0.0000 0.0000 0.1411
Sc 0.3333 0.6667 0.3278
Zn 0.0000 0.0000 0.5000
Co 0.3333 0.6667 0.0000
N 0.6667 0.3333 0.2406

***

A plane-wave DFT calculation with PBE was carried out for a geometry-optimized Zr4Sc2Co3N3 structure.

Output
Uncorrected energy, eV per cell: -413.8

a = 9.5797 Å, b = 5.5231 Å, c = 13.6480 Å
α = 90.00°, β = 103.89°, γ = 90.00°
Space group C2/c (No. 15)
Unique sites:
Zr 0.1150 0.0877 0.0956
Zr 0.2197 0.0828 0.4044
Sc 0.0433 0.4178 0.8874
Co 0.0000 0.0708 0.2500
Co 0.2421 0.3431 0.2501
N 0.0809 0.2573 0.5000
N 0.2500 0.2500 0.0000

***

A plane-wave DFT calculation with PBE was carried out for a geometry-optimized Zr2Sc4Co3N3 structure.

Output
Uncorrected energy, eV per cell: -397.6

a = 9.4085 Å, b = 5.4276 Å, c = 13.3924 Å
α = 90.00°, β = 104.07°, γ = 90.00°
Space group C2/c (No. 15)
Unique sites:
Zr 0.0431 0.0832 0.3839
Sc 0.1156 0.4158 0.5935
Sc 0.2179 0.4171 0.9066
Co 0.0000 0.4181 0.7500
Co 0.2463 0.1640 0.7490
N 0.0797 0.2393 0.0001
N 0.2500 0.2500 0.5000

***

A plane-wave DFT calculation with PBE was carried out for a geometry-optimized Ta4CoSiN2 structure.

Output
Uncorrected energy, eV per cell: -80.7

a = 3.1341 Å, b = 3.1341 Å, c = 12.5188 Å
α = 90.00°, β = 90.00°, γ = 120.00°
Space group P-6m2 (No. 187)
Unique sites:
Ta 0.0000 0.0000 0.1513
Ta 0.6667 0.3333 0.3463
Co 0.6667 0.3333 0.0000
Si 0.0000 0.0000 0.5000
N 0.3333 0.6667 0.2471

***

A plane-wave DFT calculation with PBE was carried out for a geometry-optimized CoSiW4N2 structure.

Output
Uncorrected energy, eV per cell: -79.7

a = 2.8184 Å, b = 2.8184 Å, c = 14.3108 Å
α = 90.00°, β = 90.00°, γ = 120.00°
Space group P-6m2 (No. 187)
Unique sites:
Co 0.0000 0.0000 0.0000
Si 0.3333 0.6667 0.5000
W 0.0000 0.0000 0.3517
W 0.3333 0.6667 0.1470
N 0.6667 0.3333 0.2505

***

A plane-wave DFT calculation with PBE was carried out for a geometry-optimized Sm2Co17N3 structure.

Output
Uncorrected energy, eV per cell: -475.4

a = 8.5489 Å, b = 8.5489 Å, c = 12.3495 Å
α = 90.00°, β = 90.00°, γ = 120.00°
Space group R-3m (No. 166, hexagonal axes)
Unique sites:
Sm 0.0000 0.0000 0.1556
Co 0.0000 0.0000 0.4064
Co 0.0000 0.2794 0.5000
Co 0.0000 0.5000 0.0000
Co 0.0155 0.5077 0.3486
N 0.0000 0.5000 0.5000

***

A plane-wave DFT calculation with PBE was carried out for a geometry-optimized Sm3CoN structure.

Output
Uncorrected energy, eV per cell: -31.3

a = 4.8191 Å, b = 4.8191 Å, c = 4.8191 Å
α = 90.00°, β = 90.00°, γ = 90.00°
Space group Pm-3m (No. 221)
Unique sites:
Sm 0.0000 0.0000 0.5000
Co 0.5000 0.5000 0.5000
N 0.0000 0.0000 0.0000

***

A plane-wave DFT calculation with PBE was carried out for a geometry-optimized Sm2CoN3 structure.

Output
Uncorrected energy, eV per cell: -94.5

a = 3.5264 Å, b = 3.5948 Å, c = 12.5399 Å
α = 90.00°, β = 90.00°, γ = 90.00°
Space group Immm (No. 71)
Unique sites:
Sm 0.0000 0.0000 0.1487
Co 0.0000 0.0000 0.5000
N 0.0000 0.0000 0.3383
N 0.0000 0.5000 0.5000

***

A plane-wave DFT calculation with PBE was carried out for a geometry-optimized CoSn2N2 structure.

Output
Uncorrected energy, eV per cell: -116.7

a = 10.6748 Å, b = 5.1640 Å, c = 6.5682 Å
α = 90.00°, β = 123.44°, γ = 90.00°
Space group C2/m (No. 12)
Unique sites:
Co 0.1276 0.0000 0.1231
Sn 0.0484 0.5000 0.7930
Sn 0.1956 0.0000 0.6244
N 0.0147 0.0000 0.7946
N 0.1725 0.5000 0.5979

***

A plane-wave DFT calculation with PBE was carried out for a geometry-optimized Ta4CoSnN2 structure.

Output
Uncorrected energy, eV per cell: -78.5

a = 3.1383 Å, b = 3.1383 Å, c = 13.3629 Å
α = 90.00°, β = 90.00°, γ = 120.00°
Space group P-6m2 (No. 187)
Unique sites:
Ta 0.0000 0.0000 0.1424
Ta 0.6667 0.3333 0.3231
Co 0.6667 0.3333 0.0000
Sn 0.0000 0.0000 0.5000
N 0.3333 0.6667 0.2326

***

A plane-wave DFT calculation with PBE was carried out for a geometry-optimized CoSnW4N2 structure.

Output
Uncorrected energy, eV per cell: -76.8

a = 2.8860 Å, b = 2.8860 Å, c = 14.6888 Å
α = 90.00°, β = 90.00°, γ = 120.00°
Space group P-6m2 (No. 187)
Unique sites:
Co 0.0000 0.0000 0.0000
Sn 0.6667 0.3333 0.5000
W 0.0000 0.0000 0.3338
W 0.6667 0.3333 0.1406
N 0.3333 0.6667 0.2387

***

A plane-wave DFT calculation with PBE was carried out for a geometry-optimized Zr4CoSnN2 structure.

Output
Uncorrected energy, eV per cell: -69.5

a = 3.2657 Å, b = 3.2657 Å, c = 13.9079 Å
α = 90.00°, β = 90.00°, γ = 120.00°
Space group P-6m2 (No. 187)
Unique sites:
Zr 0.0000 0.0000 0.1369
Zr 0.6667 0.3333 0.3260
Co 0.6667 0.3333 0.0000
Sn 0.0000 0.0000 0.5000
N 0.3333 0.6667 0.2321

***

A plane-wave DFT calculation with PBE was carried out for a geometry-optimized SrCoN2 structure.

Output
Uncorrected energy, eV per cell: -106.6

a = 5.9271 Å, b = 7.9625 Å, c = 5.3036 Å
α = 90.00°, β = 116.21°, γ = 90.00°
Space group P2_1/c (No. 14)
Unique sites:
Sr 0.1736 0.0982 0.3408
Co 0.4118 0.6330 0.4012
N 0.2514 0.0697 0.8949
N 0.3446 0.6906 0.0532

***

A plane-wave DFT calculation with PBE was carried out for a geometry-optimized SrCo2N2 structure.

Output
Uncorrected energy, eV per cell: -33.0

a = 3.3344 Å, b = 3.3344 Å, c = 6.1557 Å
α = 90.00°, β = 90.00°, γ = 120.00°
Space group P-3m1 (No. 164)
Unique sites:
Sr 0.0000 0.0000 0.0000
Co 0.3333 0.6667 0.3805
N 0.3333 0.6667 0.6963

***

A plane-wave DFT calculation with PBE was carried out for a geometry-optimized SrCo2N2 structure.

Output
Uncorrected energy, eV per cell: -137.3

a = 6.0406 Å, b = 6.0406 Å, c = 8.1573 Å
α = 90.00°, β = 90.00°, γ = 90.00°
Space group I4/mcm (No. 140)
Unique sites:
Sr 0.0000 0.0000 0.2500
Co 0.1323 0.3677 0.0000
N 0.1643 0.3357 0.5000